# VN2F

An optimized crystal structure of VN2F (PBE+U, the Alexandria database).

Properties
**Crystal system**: tetragonal
**E_tot**: -47.42 eV/cell

Geometry as CIF:
```
data_VN2F
_chemical_formula_sum 'V2 N4 F2'
_symmetry_space_group_name_H-M 'P 1'
_symmetry_Int_Tables_number 1
_symmetry_space_group_name_Hall 'P 1'
_cell_length_a 4.777
_cell_length_b 4.777
_cell_length_c 5.844
_cell_angle_alpha 65.88
_cell_angle_beta 65.88
_cell_angle_gamma 90.00
loop_
_atom_site_label
_atom_site_type_symbol
_atom_site_fract_x
_atom_site_fract_y
_atom_site_fract_z
_atom_site_occupancy
V1 V 0.000 0.000 0.000 1
V2 V 0.750 0.250 0.500 1
F1 F 0.500 0.500 0.000 1
F2 F 0.250 0.750 0.500 1
N1 N 0.735 0.125 0.250 1
N2 N 0.015 0.625 0.250 1
N3 N 0.375 0.265 0.750 1
N4 N 0.875 0.985 0.750 1
```